1.
An optimized crystal structure of InAg3. Source: the Alexandria database, functional GGA-PBEsol.

Computed properties:
As for the symmetry: P6_3/mmc. As for the total energy: -3.297 eV/atom. For the spin magnetization, the calculation gives 0.000 μB per atom. As for the volume: 141 Å³/cell.

Cell: 5.859 5.859 4.746 Å, 90.00 90.00 120.00°
Atoms (fractional coordinates):
In  0.333  0.667  0.250
In  0.667  0.333  0.750
Ag  0.165  0.329  0.750
Ag  0.165  0.835  0.750
Ag  0.329  0.165  0.250
Ag  0.671  0.835  0.750
Ag  0.835  0.165  0.250
Ag  0.835  0.671  0.250

=====

2.
An optimized crystal structure of Ba2MnReO6. Source: the Alexandria database, functional GGA-PBEsol.

Computed properties:
As for the symmetry: Fm-3m. For the spin magnetization, the calculation gives 0.000 μB per atom. The value obtained for the energy relative to the elements, uncorrected is -2.104 eV per atom. As for the volume: 123 Å³/cell.

Cell: 5.577 5.577 5.577 Å, 60.00 60.00 60.00°
Atoms (fractional coordinates):
Ba  0.250  0.250  0.250
Ba  0.750  0.750  0.750
Mn  0.000  0.000  0.000
Re  0.500  0.500  0.500
O  0.251  0.251  0.749
O  0.251  0.749  0.251
O  0.251  0.749  0.749
O  0.749  0.251  0.251
O  0.749  0.251  0.749
O  0.749  0.749  0.251